Material: Tb2Dy2YHo
Method: DFT, PBE
State: optimized geometry

abc: 7.013 9.670 5.597
angles: 90.00 90.00 90.00
Positions (direct):
Tb 0.250 0.167 0.000
Tb 0.250 0.667 0.500
Tb 0.750 0.333 0.500
Tb 0.750 0.833 0.000
Dy 0.250 0.333 0.500
Dy 0.250 0.833 0.000
Dy 0.750 0.167 0.000
Dy 0.750 0.667 0.500
Y 0.000 0.000 0.500
Y 0.500 0.500 0.000
Ho 0.000 0.500 0.000
Ho 0.500 0.000 0.500

ΔE_f (kcal/mol of atoms): 1.546
Total moment (μB per formula unit): 0.000
Space group: Pnnm (58)
Raw total energy (eV/atom): -4.85
Calculated volume (A^3/atom): 31.6



Material: Y2ReAu
Method: DFT, PBE
State: optimized geometry

abc: 3.556 3.556 7.690
angles: 90.00 90.00 90.00
Positions (direct):
Y 0.000 0.000 0.000
Y 0.500 0.500 0.395
Re 0.500 0.500 0.770
Au 0.000 0.000 0.612

ΔE to the lowest computed polymorph (meV/atom): 455
ΔE_f (kcal/mol of atoms): 4.117
Total moment (μB per formula unit): 0.000
Space group: P4mm (99)
Raw total energy (eV/atom): -6.98
Calculated volume (A^3/atom): 24.3



Material: OsRhW2
Method: DFT, PBE
State: optimized geometry

abc: 4.439 4.439 4.439
angles: 60.00 60.00 60.00
Positions (direct):
Os 0.000 0.000 0.000
Rh 0.500 0.500 0.500
W 0.250 0.250 0.250
W 0.750 0.750 0.750

ΔE to the lowest computed polymorph (meV/atom): 432
ΔE_f (kcal/mol of atoms): 8.309
Total moment (μB per formula unit): 0.000
Space group: Fm-3m (225)
Raw total energy (eV/atom): -10.76
Calculated volume (A^3/atom): 15.5



Material: MgBe3In
Method: DFT, PBE
State: optimized geometry

abc: 4.575 4.575 4.575
angles: 90.00 90.00 90.00
Positions (direct):
Mg 0.000 0.000 0.000
Be 0.000 0.500 0.500
Be 0.500 0.000 0.500
Be 0.500 0.500 0.000
In 0.500 0.500 0.500

ΔE to the lowest computed polymorph (meV/atom): 0
ΔE_f (kcal/mol of atoms): 25.500
Total moment (μB per formula unit): 0.000
Space group: Pm-3m (221)
Raw total energy (eV/atom): -2.00
Calculated volume (A^3/atom): 19.2



Material: NpP2Pd3
Method: DFT, PBE
State: optimized geometry

abc: 7.659 7.659 7.393
angles: 116.43 116.43 31.09
Positions (direct):
Np 0.146 0.146 0.060
Np 0.854 0.854 0.940
P 0.199 0.199 0.739
P 0.490 0.490 0.840
P 0.510 0.510 0.160
P 0.801 0.801 0.261
Pd 0.052 0.052 0.373
Pd 0.313 0.313 0.598
Pd 0.395 0.395 0.314
Pd 0.605 0.605 0.686
Pd 0.687 0.687 0.402
Pd 0.948 0.948 0.627

ΔE_f (kcal/mol of atoms): -14.134
Total moment (μB per formula unit): 3.739
Space group: C2/m (12)
Raw total energy (eV/atom): -7.17
Calculated volume (A^3/atom): 16.6



Material: TaNiOs2
Method: DFT, PBE
State: optimized geometry

abc: 3.884 3.884 3.804
angles: 90.00 90.00 90.00
Positions (direct):
Ta 0.000 0.000 0.000
Ni 0.500 0.500 0.000
Os 0.000 0.500 0.500
Os 0.500 0.000 0.500

ΔE_f (kcal/mol of atoms): -4.782
Total moment (μB per formula unit): 0.000
Space group: P4/mmm (123)
Raw total energy (eV/atom): -10.23
Calculated volume (A^3/atom): 14.3